DFT (PBE+U) results for crystalline NaPbW2O8 at its relaxed geometry.

Cell lengths 6.326, 6.326, 6.326 Å; angles 106.49, 106.49, 115.61 degrees
Positions (direct):
Na1 0.250 0.750 0.500
W1 0.750 0.250 0.500
W2 0.500 0.500 0.000
O1 0.912 0.221 0.309
O2 0.856 0.668 0.188
O3 0.397 0.088 0.309
O4 0.332 0.521 0.188
O5 0.332 0.144 0.812
O6 0.912 0.603 0.691
O7 0.779 0.088 0.691
O8 0.479 0.668 0.812
Pb1 0.000 0.000 0.000

Output
E: -78.79 eV for the cell shown
Fermi-level density of states: 3.6 states/eV/f.u.